No. 1
The following is a DFT calculation (GGA-PBE) of crystalline Pm3Ag2 at its relaxed geometry.

abc: 3.7049 3.7049 20.1633
angles: 90.00 90.00 90.00
Space group P4/mmm (No. 123)
Symmetry-distinct sites (fractional):
Pm 0.0000 0.0000 0.0000 x1
Pm 0.0000 0.0000 0.1878 x2
Pm 0.0000 0.0000 0.3740 x2
Pm 0.5000 0.5000 0.5000 x1
Ag 0.5000 0.5000 0.0940 x2
Ag 0.5000 0.5000 0.2809 x2

Results
The calculation puts the energy relative to the lowest polymorph listed for this composition at 0.00 kcal/mol of atoms.

***

No. 2
The following is a DFT calculation (GGA-PBE) of crystalline YBe2P at its relaxed geometry.

abc: 4.0111 5.2441 5.9933
angles: 90.00 90.00 90.00
Space group Cmm2 (No. 35)
Symmetry-distinct sites (fractional):
Y 0.0000 0.0000 0.0000 x2
Be 0.0000 0.0000 0.4925 x2
Be 0.0000 0.5000 0.6683 x2
P 0.0000 0.5000 0.3124 x2

Results
The calculation puts the total energy at -39.33 eV for the cell shown.

***

No. 3
The following is a DFT calculation (GGA-PBE) of crystalline ScAlCl2 at its relaxed geometry.

abc: 7.0599 7.0599 7.0599
angles: 90.00 90.00 90.00
Space group F-43m (No. 216)
Symmetry-distinct sites (fractional):
Sc 0.0000 0.0000 0.0000 x4
Al 0.2500 0.2500 0.2500 x4
Cl 0.0000 0.0000 0.5000 x4
Cl 0.2500 0.2500 0.7500 x4

Results
For the formation energy from raw total energies, the calculation gives -1.0 eV/f.u. The calculation puts the energy relative to the lowest polymorph listed for this composition at 18.05 kcal/mol of atoms.

***

No. 4
The following is a DFT calculation (GGA-PBE) of crystalline LiBiN2 at its relaxed geometry.

abc: 3.4183 3.4183 18.5048
angles: 90.00 90.00 120.00
Space group R-3m (No. 166, hexagonal axes)
Symmetry-distinct sites (fractional):
Li 0.0000 0.0000 0.0000 x3
Bi 0.0000 0.0000 0.5000 x3
N 0.0000 0.0000 0.1027 x6

Results
For the formation energy from raw total energies, the calculation gives 2.3 eV/f.u.

***

Number 1: density of states at the Fermi level 9.7 states/eV/cell, total magnetization 0.0 μB per formula unit. Number 2: density of states at the Fermi level 4.2 states/eV/cell, total magnetization 0.0 μB per formula unit. Number 3: density of states at the Fermi level 16.6 states/eV/cell, total magnetization 2.0 μB per formula unit. Number 4: density of states at the Fermi level 1.7 states/eV/cell, total magnetization 0.0 μB per formula unit.